# CoMo2As

An optimized crystal structure of CoMo2As (PBE, Alexandria via LeMat-Bulk).

abc: 4.3403 4.3403 4.3403
angles: 60.00 60.00 60.00
With the nearest neighbours (Å) after each atom.
Fractional positions:
1 Co 0.0000 0.0000 0.0000  4 As 2.66, 4 Mo 2.66
2 Mo 0.5000 0.5000 0.5000  4 As 2.66, 4 Mo 2.66
3 Mo 0.7500 0.7500 0.7500  4 Mo 2.66, 4 Co 2.66
4 As 0.2500 0.2500 0.2500  4 Mo 2.66, 4 Co 2.66

Summary:
Spin magnetization in μB per formula unit: 1.97
ΔH_f (0 K) in eV per atom: 0.245
SG: No. 216
Density of states at the Fermi level in states/eV per cell: 2.9